DFT (PBE with a Hubbard U) results for a relaxed MnPtNF2 crystal.

Summary:
- DFT total energy: -26.55 eV per cell
- Density of states at the Fermi level: 0.56 states/eV/atom
- Space group: P4/mmm (123)
- Polymorph energy (0 for the lowest one): 0 meV/atom

Lattice parameters (Å, degrees): 4.641 4.641 3.678 90.00 90.00 90.00
Atoms (fractional coordinates):
Mn 0.000 0.000 0.000
Pt 0.500 0.500 0.500
N 0.500 0.500 0.000
F 0.000 0.500 0.500
F 0.500 0.000 0.500